{"formula": "SrAcTl4", "functional": "PBE", "state": "relaxed", "cell": [[-4.765, 0.427, -4.688], [3.765, -3.674, -4.353], [-2.153, -4.516, -1.039]], "species": ["Tl", "Tl", "Tl", "Ac", "Sr", "Tl"], "fractional_positions": [[0.003, 0.323, 0.832], [0.920, 0.584, 0.243], [0.580, 0.912, 0.254], [0.467, 0.537, 0.997], [0.038, 0.956, 0.499], [0.500, 0.171, 0.665]], "sg": "P1 (1)"}



{"formula": "PmNi2H8Pd", "functional": "PBE", "state": "relaxed", "cell": [[-2.696, 3.722, -0.044], [-1.470, 1.726, -3.998], [-5.718, -1.317, -1.108]], "species": ["Pd", "H", "H", "Pm", "Ni", "H", "Ni", "H", "H", "H", "H", "H"], "fractional_positions": [[0.000, 0.000, 0.000], [0.193, 0.193, 0.422], [0.622, 0.316, 0.146], [0.500, 0.500, 0.500], [0.709, 0.709, 0.874], [0.807, 0.807, 0.578], [0.291, 0.291, 0.126], [0.684, 0.084, 0.854], [0.084, 0.378, 0.854], [0.916, 0.622, 0.146], [0.378, 0.684, 0.854], [0.316, 0.916, 0.146]], "sg": "R-3 (148)"}



{"formula": "ZnSn3Sb", "functional": "PBE", "state": "relaxed", "cell": [[5.240, 0.000, 0.000], [0.000, 5.240, 0.000], [0.000, 0.000, 5.240]], "species": ["Zn", "Sb", "Sn", "Sn", "Sn"], "fractional_positions": [[0.000, 0.000, 0.000], [0.500, 0.500, 0.500], [0.500, 0.000, 0.000], [0.000, 0.500, 0.000], [0.000, 0.000, 0.500]], "e_form_raw_ev_per_atom": 0.33, "sg": "Pm-3m (221)"}



| no. | E (eV per atom) |
| --- | --- |
| 1 | -2.856 |
| 2 | -4.212 |
| 3 | -3.149 |